[1]
DFT (PBE) results for crystalline CeSmDyHg at its relaxed geometry.

Cell and atoms, written as POSCAR:
```
CeSmDyHg
1.0
-3.819 -2.892 2.443
0.567 -1.385 5.165
-3.109 2.276 3.751
Ce Hg Sm Dy
1 1 1 1
Cartesian
-4.770 -1.501 8.519
-1.590 -0.500 2.840
-3.180 -1.001 5.680
0.000 0.000 0.000
```

***

[2]
DFT (PBE) results for crystalline Ce2DySn2Hg2 at its relaxed geometry.

Cell and atoms, written as POSCAR:
```
Ce2DySn2Hg2
1.0
4.867 0.000 0.000
2.434 4.215 0.000
2.434 1.405 9.174
Ce Dy Sn Hg
2 1 2 2
Cartesian
2.434 1.405 5.267
7.301 4.215 3.907
0.000 0.000 0.000
7.301 4.215 7.553
2.434 1.405 1.622
4.867 2.810 2.607
4.867 2.810 6.567
```

***

no.,ΔE_f (meV/atom),magnetic moment (μB/f.u.),ρ (kg/m³)
1,6.0,2.644,9871
2,-267.3,2.872,9539